Here is a geometry-optimized Rb2NiF6 structure from the Alexandria database. Energies are from GGA+U.

Unit cell a=6.0608 b=6.0608 c=6.0608 alpha=60.00 beta=60.00 gamma=60.00
Last column: nearest neighbours and their distance in Å.
Atoms (fractional coordinates):
F1 0.7894 0.2106 0.2106  1 Ni 1.81
F2 0.2106 0.7894 0.7894  1 Ni 1.81
F3 0.7894 0.2106 0.7894  1 Ni 1.81
F4 0.2106 0.2106 0.7894  1 Ni 1.81
F5 0.2106 0.7894 0.2106  1 Ni 1.81
F6 0.7894 0.7894 0.2106  1 Ni 1.81
Ni1 0.0000 0.0000 0.0000  6 F 1.81
Rb1 0.7500 0.7500 0.7500  12 F 3.05
Rb2 0.2500 0.2500 0.2500  12 F 3.05

## Properties
N(E_F), states/eV/cell: 0.000
E, eV per atom: -3.917



Here is a geometry-optimized RbNiF structure from the Alexandria database. Energies are from GGA+U.

Unit cell a=3.6512 b=8.3525 c=5.9132 alpha=111.39 beta=51.86 gamma=103.84
Last column: nearest neighbours and their distance in Å.
Atoms (fractional coordinates):
Rb1 0.7484 0.2139 0.1160  6 F 2.94-3.06
Rb2 0.2426 0.5634 0.7893  6 F 2.93-3.06
F1 0.7351 0.2500 0.6339  1 Ni 2.04
F2 0.2565 0.5270 0.2711  1 Ni 2.04
Ni1 0.2444 0.7895 0.4015  1 F 2.04
Ni2 0.7474 0.9876 0.5037  1 F 2.04

## Properties
N(E_F), states/eV/cell: 0.000
E, eV per atom: -2.903



Here is a geometry-optimized RbNiF structure from the Alexandria database. Energies are from GGA+U.

Unit cell a=8.6048 b=3.9918 c=8.2603 alpha=90.00 beta=90.00 gamma=90.00
Last column: nearest neighbours and their distance in Å.
Atoms (fractional coordinates):
Rb1 0.3399 0.2500 0.1463  3 F 2.81-2.87
Rb2 0.1601 0.7500 0.6463  3 F 2.81-2.87
Rb3 0.6601 0.7500 0.8537  3 F 2.81-2.87
Rb4 0.8399 0.2500 0.3537  3 F 2.81-2.87
F1 0.4236 0.2500 0.8169  1 Ni 2.02
F2 0.9236 0.2500 0.6831  1 Ni 2.02
F3 0.5764 0.7500 0.1831  1 Ni 2.02
F4 0.0764 0.7500 0.3169  1 Ni 2.02
Ni1 0.5213 0.7500 0.4207  1 F 2.02
Ni2 0.9787 0.2500 0.9207  1 F 2.02
Ni3 0.4787 0.2500 0.5793  1 F 2.02
Ni4 0.0213 0.7500 0.0793  1 F 2.02

## Properties
N(E_F), states/eV/cell: 0.000
E, eV per atom: -2.898



Here is a geometry-optimized Rb3Ni2F9 structure from the Alexandria database. Energies are from GGA+U.

Unit cell a=5.8577 b=5.8577 c=7.5313 alpha=90.00 beta=90.00 gamma=120.00
Last column: nearest neighbours and their distance in Å.
Atoms (fractional coordinates):
F1 0.1830 0.3660 0.7102  1 Ni 1.87
F2 0.8170 0.1830 0.2898  1 Ni 1.87
F3 0.3660 0.1830 0.2898  1 Ni 1.87
F4 0.1830 0.8170 0.7102  1 Ni 1.87
F5 0.5000 0.5000 0.0000  2 Ni 2.02
F6 0.5000 0.0000 0.0000  2 Ni 2.02
F7 0.8170 0.6340 0.2898  1 Ni 1.87
F8 0.0000 0.5000 0.0000  2 Ni 2.02
F9 0.6340 0.8170 0.7102  1 Ni 1.87
Ni1 0.3333 0.6667 0.8535  6 F 1.87-2.02
Ni2 0.6667 0.3333 0.1465  6 F 1.87-2.02
Rb1 0.6667 0.3333 0.6349  12 F 2.99-3.23
Rb2 0.0000 0.0000 0.0000  12 F 2.87-2.93
Rb3 0.3333 0.6667 0.3651  12 F 2.99-3.23

## Properties
N(E_F), states/eV/cell: 4.772
E, eV per atom: -3.969



Here is a geometry-optimized RbNiF structure from the Alexandria database. Energies are from GGA+U.

Unit cell a=4.2059 b=4.2059 c=9.2439 alpha=90.00 beta=90.00 gamma=120.00
Last column: nearest neighbours and their distance in Å.
Atoms (fractional coordinates):
Ni1 0.3333 0.6667 0.2500  3 F 2.43
Ni2 0.6667 0.3333 0.7500  3 F 2.43
F1 0.6667 0.3333 0.2500  3 Ni 2.43
F2 0.3333 0.6667 0.7500  3 Ni 2.43
Rb1 0.0000 0.0000 0.0000  6 F 3.35, 6 Ni 3.35
Rb2 0.0000 0.0000 0.5000  6 Ni 3.35, 6 F 3.35

## Properties
N(E_F), states/eV/cell: 3.090
E, eV per atom: -2.250



Here is a geometry-optimized RbNi4F8 structure from the Alexandria database. Energies are from GGA+U.

Unit cell a=6.2277 b=6.2277 c=7.4029 alpha=65.13 beta=65.13 gamma=60.00
Last column: nearest neighbours and their distance in Å.
Atoms (fractional coordinates):
F1 0.2165 0.2165 0.8355  3 Ni 2.04-2.11
F2 0.7835 0.2685 0.1645  3 Ni 2.04-2.11
F3 0.2824 0.2824 0.1528  3 Ni 2.05
F4 0.7176 0.7176 0.8472  3 Ni 2.05
F5 0.2165 0.7315 0.8355  3 Ni 2.04-2.11
F6 0.7835 0.7835 0.1645  3 Ni 2.04-2.11
F7 0.7315 0.2165 0.8355  3 Ni 2.04-2.11
F8 0.2685 0.7835 0.1645  3 Ni 2.04-2.11
Ni1 0.0000 0.0000 0.0000  6 F 2.04
Ni2 0.5000 0.5000 0.0000  6 F 2.05-2.11
Ni3 0.0000 0.5000 0.0000  6 F 2.05-2.11
Ni4 0.5000 0.0000 0.0000  6 F 2.05-2.11
Rb1 0.5000 0.5000 0.5000  6 F 2.85

## Properties
N(E_F), states/eV/cell: 7.029
E, eV per atom: -4.049



Here is a geometry-optimized RbNiF structure from the Alexandria database. Energies are from GGA+U.

Unit cell a=6.9932 b=5.9699 c=6.5459 alpha=90.00 beta=90.00 gamma=90.00
Last column: nearest neighbours and their distance in Å.
Atoms (fractional coordinates):
Rb1 0.4993 0.7500 0.2358  3 F 2.75-3.07
Rb2 0.5007 0.2500 0.7642  3 F 2.75-3.07
Rb3 0.9993 0.7500 0.2642  3 F 2.75-3.07
Rb4 0.0007 0.2500 0.7358  3 F 2.75-3.07
F1 0.0002 0.7500 0.8438  2 Ni 1.85
F2 0.5002 0.7500 0.6562  2 Ni 1.85
F3 0.4998 0.2500 0.3438  2 Ni 1.85
F4 0.9998 0.2500 0.1562  2 Ni 1.85
Ni1 0.2499 0.2500 0.2500  2 F 1.85
Ni2 0.7499 0.2500 0.2500  2 F 1.85
Ni3 0.2501 0.7500 0.7500  2 F 1.85
Ni4 0.7501 0.7500 0.7500  2 F 1.85

## Properties
N(E_F), states/eV/cell: 0.000
E, eV per atom: -2.434



Here is a geometry-optimized Rb2NiF4 structure from the Alexandria database. Energies are from GGA+U.

Unit cell a=6.2756 b=6.4754 c=7.9224 alpha=90.00 beta=112.39 gamma=90.00
Last column: nearest neighbours and their distance in Å.
Atoms (fractional coordinates):
Rb1 0.6422 0.7500 0.0205  6 F 2.75-3.02
Rb2 0.3578 0.2500 0.9795  6 F 2.75-3.02
Rb3 0.2021 0.2500 0.4280  6 F 2.80-2.97
Rb4 0.7979 0.7500 0.5720  6 F 2.80-2.97
F1 0.4492 0.9765 0.2636  1 Ni 1.92
F2 0.1314 0.7500 0.9408  1 Ni 1.93
F3 0.5508 0.4765 0.7364  1 Ni 1.92
F4 0.0428 0.7500 0.3416  1 Ni 1.92
F5 0.9572 0.2500 0.6584  1 Ni 1.92
F6 0.8686 0.2500 0.0592  1 Ni 1.93
F7 0.4492 0.5235 0.2636  1 Ni 1.92
F8 0.5508 0.0235 0.7364  1 Ni 1.92
Ni1 0.7644 0.2500 0.7966  4 F 1.92-1.93
Ni2 0.2356 0.7500 0.2034  4 F 1.92-1.93

## Properties
N(E_F), states/eV/cell: 0.000
E, eV per atom: -4.123